1.
# KRbPtS2, optimized geometry, DFT GGA-PBE
# Theoretical density ... 4.91 g/cm3
# Volume ... 25.97 A^3/atom
# Total energy ... -41.95 eV for the cell shown
data_KRbPtS2
_cell_length_a 3.666
_cell_length_b 7.254
_cell_length_c 9.766
_cell_angle_alpha 90.00
_cell_angle_beta 90.00
_cell_angle_gamma 90.00
_space_group_name_H-M_alt 'I m m 2'
_space_group_IT_number 44
_space_group_name_Hall 'I 2 -2'
loop_
_atom_site_label
_atom_site_fract_x
_atom_site_fract_y
_atom_site_fract_z
_atom_site_occupancy
K1 0.000 0.000 0.000 1
Rb1 0.000 0.000 0.615 1
Pt1 0.000 0.500 0.804 1
S1 0.000 0.210 0.305 1

2.
# SmTlCdSe3, optimized geometry, DFT GGA-PBE
# Theoretical density ... 6.55 g/cm3
# Volume ... 29.77 A^3/atom
# Total energy ... -99.57 eV for the cell shown
data_SmTlCdSe3
_cell_length_a 4.302
_cell_length_b 14.685
_cell_length_c 11.307
_cell_angle_alpha 90.00
_cell_angle_beta 90.00
_cell_angle_gamma 90.00
_space_group_name_H-M_alt 'C m c m'
_space_group_IT_number 63
_space_group_name_Hall '-C 2c 2'
loop_
_atom_site_label
_atom_site_fract_x
_atom_site_fract_y
_atom_site_fract_z
_atom_site_occupancy
Sm1 0.000 0.000 0.000 1
Tl1 0.000 0.251 0.250 1
Cd1 0.000 0.460 0.750 1
Se1 0.000 0.073 0.750 1
Se2 0.000 0.367 0.552 1

3.
# GdIn, optimized geometry, DFT GGA-PBE
# Theoretical density ... 8.40 g/cm3
# Volume ... 26.90 A^3/atom
# Total energy ... -8.35 eV for the cell shown
data_GdIn
_cell_length_a 3.826
_cell_length_b 3.826
_cell_length_c 3.675
_cell_angle_alpha 90.00
_cell_angle_beta 90.00
_cell_angle_gamma 90.00
_space_group_name_H-M_alt 'P 4/m m m'
_space_group_IT_number 123
_space_group_name_Hall '-P 4 2'
loop_
_atom_site_label
_atom_site_fract_x
_atom_site_fract_y
_atom_site_fract_z
_atom_site_occupancy
Gd1 0.000 0.000 0.000 1
In1 0.500 0.500 0.500 1

4.
# BeReSiAs, optimized geometry, DFT GGA-PBE
# Theoretical density ... 9.12 g/cm3
# Volume ... 13.57 A^3/atom
# Total energy ... -94.45 eV for the cell shown
data_BeReSiAs
_cell_length_a 6.011
_cell_length_b 6.011
_cell_length_c 6.011
_cell_angle_alpha 90.00
_cell_angle_beta 90.00
_cell_angle_gamma 90.00
_space_group_name_H-M_alt 'F -4 3 m'
_space_group_IT_number 216
_space_group_name_Hall 'F -4 2 3'
loop_
_atom_site_label
_atom_site_fract_x
_atom_site_fract_y
_atom_site_fract_z
_atom_site_occupancy
Be1 0.000 0.000 0.000 1
Re1 0.250 0.250 0.250 1
Si1 0.250 0.250 0.750 1
As1 0.000 0.000 0.500 1

> Which of these has the lowest volume?

BeReSiAs

Please write out number 3 again, unchanged.
# GdIn, optimized geometry, DFT GGA-PBE
# Theoretical density ... 8.40 g/cm3
# Volume ... 26.90 A^3/atom
# Total energy ... -8.35 eV for the cell shown
data_GdIn
_cell_length_a 3.826
_cell_length_b 3.826
_cell_length_c 3.675
_cell_angle_alpha 90.00
_cell_angle_beta 90.00
_cell_angle_gamma 90.00
_space_group_name_H-M_alt 'P 4/m m m'
_space_group_IT_number 123
_space_group_name_Hall '-P 4 2'
loop_
_atom_site_label
_atom_site_fract_x
_atom_site_fract_y
_atom_site_fract_z
_atom_site_occupancy
Gd1 0.000 0.000 0.000 1
In1 0.500 0.500 0.500 1